No. 1
Computed, not measured: a relaxed LiZrF2 crystal at the GGA-PBE level of DFT.

## Properties
**Electronic total energy**: -4.995 eV/atom
**Relative energy among the computed polymorphs**: 940.5 meV per atom
**DOS at the Fermi energy**: 0.48 states/eV per atom
**Space group**: Fm-3m, No. 225
**Uncorrected formation energy**: -1.44 eV per atom

Unit cell a=4.233 b=4.233 c=4.233 alpha=60.00 beta=60.00 gamma=60.00
Last column: magnetic moment on the atom in μB.
Sites, in units of the cell vectors:
Li  0.000  0.000  0.000  0.16
Zr  0.500  0.500  0.500  1.63
F  0.250  0.250  0.250  0.05
F  0.750  0.750  0.750  0.05

---

No. 2
Computed, not measured: a relaxed SrSc2Hg crystal at the GGA-PBE level of DFT.

## Properties
**Electronic total energy**: -3.545 eV/atom
**Relative energy among the computed polymorphs**: 232.8 meV per atom
**DOS at the Fermi energy**: 1.88 states/eV per atom
**Energy relative to the elements**: 0.117 eV per atom
**Space group**: F-43m, No. 216

Unit cell a=5.376 b=5.376 c=5.376 alpha=60.00 beta=60.00 gamma=60.00
Last column: magnetic moment on the atom in μB.
Sites, in units of the cell vectors:
Hg  0.500  0.500  0.500  0.01
Sc  0.000  0.000  0.000  0.52
Sc  0.250  0.250  0.250  0.41
Sr  0.750  0.750  0.750  0.04

---

What did the second record say?
Computed, not measured: a relaxed SrSc2Hg crystal at the GGA-PBE level of DFT.

## Properties
**Electronic total energy**: -3.545 eV/atom
**Relative energy among the computed polymorphs**: 232.8 meV per atom
**DOS at the Fermi energy**: 1.88 states/eV per atom
**Energy relative to the elements**: 0.117 eV per atom
**Space group**: F-43m, No. 216

Unit cell a=5.376 b=5.376 c=5.376 alpha=60.00 beta=60.00 gamma=60.00
Last column: magnetic moment on the atom in μB.
Sites, in units of the cell vectors:
Hg  0.500  0.500  0.500  0.01
Sc  0.000  0.000  0.000  0.52
Sc  0.250  0.250  0.250  0.41
Sr  0.750  0.750  0.750  0.04

---

> Which formula does entry 2 have?

SrSc2Hg